PaGe2PtRh2: relaxed, PBE-GGA.

```
data_PaGe2PtRh2
_chemical_formula_sum 'Pa1 Ge2 Pt1 Rh2'
_cell_length_a 4.662
_cell_length_b 4.662
_cell_length_c 5.502
_cell_angle_alpha 90.00
_cell_angle_beta 90.00
_cell_angle_gamma 90.00
_space_group_name_H-M_alt 'P 4/m m m'
_space_group_IT_number 123
_space_group_name_Hall '-P 4 2'
loop_
_atom_site_label
_atom_site_fract_x
_atom_site_fract_y
_atom_site_fract_z
Pa1 0.000 0.000 0.000
Ge1 0.000 0.500 0.500
Pt1 0.000 0.000 0.500
Rh1 0.500 0.500 0.241
```

Output
- Uncorrected energy: -6.586 eV per atom
- Crystal system: tetragonal
- D(E_F): 7.14 states/eV/cell

PaGePtRh: relaxed, PBE-GGA.

```
data_PaGePtRh
_chemical_formula_sum 'Pa2 Ge2 Pt2 Rh2'
_cell_length_a 3.954
_cell_length_b 3.954
_cell_length_c 9.662
_cell_angle_alpha 90.00
_cell_angle_beta 90.00
_cell_angle_gamma 90.00
_space_group_name_H-M_alt 'P 4/n m m'
_space_group_IT_number 129
loop_
_space_group_symop_operation_xyz
'x,y,z'
'-x,-y,-z'
'-y+1/2,x,z'
'y+1/2,-x,-z'
'-x+1/2,-y+1/2,z'
'x+1/2,y+1/2,-z'
'y,-x+1/2,z'
'-y,x+1/2,-z'
'x+1/2,-y,-z'
'-x+1/2,y,z'
'-y,-x,-z'
'y,x,z'
'-x,y+1/2,-z'
'x,-y+1/2,z'
'y+1/2,x+1/2,-z'
'-y+1/2,-x+1/2,z'
loop_
_atom_site_label
_atom_site_fract_x
_atom_site_fract_y
_atom_site_fract_z
Pa1 0.250 0.250 0.219
Ge1 0.250 0.250 0.650
Pt1 0.250 0.250 0.916
Rh1 0.250 0.750 0.500
```

Output
- Uncorrected energy: -7.656 eV per atom
- Crystal system: tetragonal
- D(E_F): 6.16 states/eV/cell

Pa2Ge4Pt3Rh: relaxed, PBE-GGA.

```
data_Pa2Ge4Pt3Rh
_chemical_formula_sum 'Pa2 Ge4 Pt3 Rh1'
_cell_length_a 4.313
_cell_length_b 4.313
_cell_length_c 9.959
_cell_angle_alpha 90.00
_cell_angle_beta 90.00
_cell_angle_gamma 90.00
_space_group_name_H-M_alt 'P -4 m 2'
_space_group_IT_number 115
loop_
_space_group_symop_operation_xyz
'x,y,z'
'y,-x,-z'
'-x,-y,z'
'-y,x,-z'
'-x,y,z'
'-y,-x,-z'
'x,-y,z'
'y,x,-z'
loop_
_atom_site_label
_atom_site_fract_x
_atom_site_fract_y
_atom_site_fract_z
Pa1 0.000 0.500 0.244
Ge1 0.000 0.000 0.500
Ge2 0.000 0.500 0.870
Ge3 0.500 0.500 0.500
Pt1 0.000 0.000 0.000
Pt2 0.000 0.500 0.627
Rh1 0.500 0.500 0.000
```

Output
- Uncorrected energy: -7.015 eV per atom
- Crystal system: tetragonal
- D(E_F): 8.08 states/eV/cell

PaGe2PtRh: relaxed, PBE-GGA.

```
data_PaGe2PtRh
_chemical_formula_sum 'Pa4 Ge8 Pt4 Rh4'
_cell_length_a 10.183
_cell_length_b 4.634
_cell_length_c 9.073
_cell_angle_alpha 90.00
_cell_angle_beta 123.87
_cell_angle_gamma 90.00
_space_group_name_H-M_alt 'C 1 2/m 1'
_space_group_IT_number 12
loop_
_space_group_symop_operation_xyz
'x,y,z'
'-x,-y,-z'
'-x,y,-z'
'x,-y,z'
'x+1/2,y+1/2,z'
'-x+1/2,-y+1/2,-z'
'-x+1/2,y+1/2,-z'
'x+1/2,-y+1/2,z'
loop_
_atom_site_label
_atom_site_fract_x
_atom_site_fract_y
_atom_site_fract_z
Pa1 0.193 0.000 0.211
Ge1 0.084 0.500 0.934
Ge2 0.153 0.000 0.531
Pt1 0.120 0.000 0.801
Rh1 0.069 0.500 0.400
```

Output
- Uncorrected energy: -7.139 eV per atom
- Crystal system: monoclinic
- D(E_F): 15.11 states/eV/cell

PaGe2Ru2Pt: relaxed, PBE-GGA.

```
data_PaGe2Ru2Pt
_chemical_formula_sum 'Pa1 Ge2 Ru2 Pt1'
_cell_length_a 4.697
_cell_length_b 4.697
_cell_length_c 5.357
_cell_angle_alpha 90.00
_cell_angle_beta 90.00
_cell_angle_gamma 90.00
_space_group_name_H-M_alt 'P 4/m m m'
_space_group_IT_number 123
_space_group_name_Hall '-P 4 2'
loop_
_atom_site_label
_atom_site_fract_x
_atom_site_fract_y
_atom_site_fract_z
Pa1 0.000 0.000 0.000
Ge1 0.000 0.500 0.500
Ru1 0.500 0.500 0.235
Pt1 0.000 0.000 0.500
```

Output
- Uncorrected energy: -6.971 eV per atom
- Crystal system: tetragonal
- D(E_F): 7.32 states/eV/cell

PaGe2RuPt2: relaxed, PBE-GGA.

```
data_PaGe2RuPt2
_chemical_formula_sum 'Pa2 Ge4 Ru2 Pt4'
_cell_length_a 6.656
_cell_length_b 5.414
_cell_length_c 6.795
_cell_angle_alpha 90.00
_cell_angle_beta 114.18
_cell_angle_gamma 90.00
_space_group_name_H-M_alt 'P 1 21/m 1'
_space_group_IT_number 11
loop_
_space_group_symop_operation_xyz
'x,y,z'
'-x,-y,-z'
'-x,y+1/2,-z'
'x,-y+1/2,z'
loop_
_atom_site_label
_atom_site_fract_x
_atom_site_fract_y
_atom_site_fract_z
Pa1 0.146 0.250 0.246
Ge1 0.067 0.750 0.432
Ge2 0.348 0.750 0.991
Ru1 0.227 0.250 0.939
Pt1 0.417 0.502 0.663
```

Output
- Uncorrected energy: -7.131 eV per atom
- Crystal system: monoclinic
- D(E_F): 7.58 states/eV/cell

Pa4GePtS2: relaxed, PBE-GGA.

```
data_Pa4GePtS2
_chemical_formula_sum 'Pa4 Ge1 Pt1 S2'
_cell_length_a 6.927
_cell_length_b 3.874
_cell_length_c 7.173
_cell_angle_alpha 90.00
_cell_angle_beta 108.48
_cell_angle_gamma 90.00
_space_group_name_H-M_alt 'P 1 2/m 1'
_space_group_IT_number 10
loop_
_space_group_symop_operation_xyz
'x,y,z'
'-x,-y,-z'
'-x,y,-z'
'x,-y,z'
loop_
_atom_site_label
_atom_site_fract_x
_atom_site_fract_y
_atom_site_fract_z
Pa1 0.233 0.000 0.243
Pa2 0.243 0.500 0.753
Ge1 0.500 0.500 0.500
Pt1 0.500 0.000 0.000
S1 0.000 0.000 0.500
S2 0.000 0.500 0.000
```

Output
- Formation energy from raw total energies: -8.5 eV/f.u.
- Uncorrected energy: -8.177 eV per atom
- Crystal system: monoclinic
- D(E_F): 13.10 states/eV/cell

ScPaGePt: relaxed, PBE-GGA.

```
data_ScPaGePt
_chemical_formula_sum 'Sc4 Pa4 Ge4 Pt4'
_cell_length_a 6.926
_cell_length_b 6.926
_cell_length_c 6.926
_cell_angle_alpha 90.00
_cell_angle_beta 90.00
_cell_angle_gamma 90.00
_space_group_name_H-M_alt 'F -4 3 m'
_space_group_IT_number 216
_space_group_name_Hall 'F -4 2 3'
loop_
_atom_site_label
_atom_site_fract_x
_atom_site_fract_y
_atom_site_fract_z
Sc1 0.000 0.000 0.000
Pa1 0.000 0.000 0.500
Ge1 0.250 0.250 0.750
Pt1 0.250 0.250 0.250
```

Output
- Uncorrected energy: -7.255 eV per atom
- Crystal system: cubic
- D(E_F): 28.49 states/eV/cell

no.,total magnetization (μB per cell)
1,0.845
2,0.000
3,0.067
4,0.005
5,0.001
6,0.000
7,0.000
8,5.278